(1)
Below is a geometry-optimized KNaSn4 structure, with properties calculated at the GGA-PBE level.

- M_tot (μB/f.u.) = 0.00
- electronic total energy (eV/atom) = -3.112
- distance to the lowest polymorph of the same formula (eV per atom) = 0.124

```
KNaSn4
1.0
4.9863 0.0000 0.0000
-2.4932 4.3183 0.0000
0.0000 0.0000 9.9674
K Na Sn
1 1 4
Cartesian
0.0000 0.0000 0.0000 K
0.0000 0.0000 4.9837 Na
0.0000 2.8789 2.7299 Sn
0.0000 2.8789 7.2375 Sn
2.4932 1.4394 2.7299 Sn
2.4932 1.4394 7.2375 Sn
```



(2)
Below is a geometry-optimized K2Na3Sn structure, with properties calculated at the GGA-PBE level.

- M_tot (μB/f.u.) = 0.00
- electronic total energy (eV/atom) = -1.684
- distance to the lowest polymorph of the same formula (eV per atom) = 0.097

```
K2Na3Sn
1.0
-2.8912 3.3048 6.8282
2.8912 -3.3048 6.8282
2.8912 3.3048 -6.8282
K Na Sn
2 3 1
Cartesian
0.0000 0.0000 3.0005 K
0.0000 0.0000 10.6560 K
2.8912 0.0000 0.0000 Na
2.8912 0.0000 5.3902 Na
0.0000 3.3048 1.4380 Na
0.0000 0.0000 6.8282 Sn
```



(3)
Below is a geometry-optimized K3Na4Sn2 structure, with properties calculated at the GGA-PBE level.

- M_tot (μB/f.u.) = 0.00
- electronic total energy (eV/atom) = -1.930

```
K3Na4Sn2
1.0
5.4597 0.0000 0.0000
2.7296 6.2746 0.0000
0.0115 2.7651 10.2197
K Na Sn
3 4 2
Cartesian
0.0000 0.0000 0.0000 K
2.7379 3.3503 6.2642 K
5.4629 5.6895 3.9555 K
2.7402 7.1130 6.9065 Na
2.7401 5.1988 9.5886 Na
5.4607 3.8410 0.6311 Na
5.4606 1.9268 3.3132 Na
2.7313 3.3284 2.4819 Sn
5.4695 5.7114 7.7378 Sn
```



Energy of formation from the pure elements per entry: -0.24, 0.05, -0.80 eV/f.u.